Arrangement A

Density functional theory data (PBE) for NaNdMg2 after structural relaxation.

Magnetic moment in μB per cell: 0.49

a = 3.7911 Å, b = 3.7911 Å, c = 8.1748 Å
α = 90.00°, β = 90.00°, γ = 90.00°
Closest atoms and distances in Å follow each position.
Space group P4/mmm (No. 123)
Symmetry-distinct sites (fractional):
Na (0.0000, 0.0000, 0.0000) (multiplicity 1)  8 Mg 3.36
Nd (0.0000, 0.0000, 0.5000) (multiplicity 1)  8 Mg 3.38
Mg (0.5000, 0.5000, 0.2487) (multiplicity 2)  4 Na 3.36, 4 Nd 3.38


Arrangement B

Density functional theory data (PBE) for NaNdMg2 after structural relaxation.

Magnetic moment in μB per cell: 0.00

a = 7.6981 Å, b = 7.6981 Å, c = 7.6981 Å
α = 90.00°, β = 90.00°, γ = 90.00°
Closest atoms and distances in Å follow each position.
Space group Fm-3m (No. 225)
Symmetry-distinct sites (fractional):
Na (0.0000, 0.0000, 0.0000) (multiplicity 4)  8 Mg 3.33
Nd (0.0000, 0.0000, 0.5000) (multiplicity 4)  8 Mg 3.33
Mg (0.2500, 0.2500, 0.2500) (multiplicity 8)  4 Na 3.33, 4 Nd 3.33


Relative stability in eV/atom, measured from the most stable structure: arrangement A 0.000; arrangement B 0.032


Arrangement A

Density functional theory data (PBE) for NaNdMg after structural relaxation.

Magnetic moment in μB per cell: 0.00

a = 3.4604 Å, b = 3.4604 Å, c = 15.7754 Å
α = 90.00°, β = 90.00°, γ = 90.00°
Closest atoms and distances in Å follow each position.
Space group I4mm (No. 107)
Symmetry-distinct sites (fractional):
Na (0.0000, 0.0000, 0.0000) (multiplicity 2)  4 Na 3.46, 4 Mg 3.52
Nd (0.0000, 0.0000, 0.6926) (multiplicity 2)  4 Mg 3.37, 4 Nd 3.46
Mg (0.0000, 0.0000, 0.3397) (multiplicity 2)  4 Nd 3.37, 4 Mg 3.46, 4 Na 3.52


Arrangement B

Density functional theory data (PBE) for NaNdMg after structural relaxation.

Magnetic moment in μB per cell: 0.00

a = 5.5769 Å, b = 5.5769 Å, c = 3.3397 Å
α = 90.00°, β = 90.00°, γ = 120.00°
Closest atoms and distances in Å follow each position.
Space group P3m1 (No. 156)
Symmetry-distinct sites (fractional):
Na (0.0000, 0.0000, 0.0000) (multiplicity 1)  3 Mg 3.22, 2 Na 3.34
Nd (0.3333, 0.6667, 0.5040) (multiplicity 1)  2 Nd 3.34, 6 Na 3.62-3.63, 6 Mg 3.62-3.63
Mg (0.6667, 0.3333, 0.0068) (multiplicity 1)  3 Na 3.22, 2 Mg 3.34


Arrangement C

Density functional theory data (PBE) for NaNdMg after structural relaxation.

Magnetic moment in μB per cell: 0.00

a = 6.0959 Å, b = 3.5195 Å, c = 17.6430 Å
α = 90.00°, β = 96.22°, γ = 90.00°
Closest atoms and distances in Å follow each position.
Space group Cm (No. 8)
Symmetry-distinct sites (fractional):
Na (0.0000, 0.0000, 0.0000) (multiplicity 2)  9 Na 3.52-3.84, 3 Nd 3.78-3.81
Na (0.1010, 0.5000, 0.8157) (multiplicity 2)  9 Na 3.52-3.84, 3 Nd 3.79-3.81
Nd (0.2056, 0.0000, 0.6331) (multiplicity 2)  3 Mg 3.40-3.41, 6 Nd 3.52, 3 Na 3.79-3.81
Nd (0.3967, 0.0000, 0.1826) (multiplicity 2)  3 Mg 3.41, 6 Nd 3.52, 3 Na 3.78-3.81
Mg (0.1139, 0.0000, 0.3388) (multiplicity 2)  9 Mg 3.16-3.52, 3 Nd 3.41
Mg (0.4888, 0.0000, 0.4771) (multiplicity 2)  9 Mg 3.16-3.52, 3 Nd 3.40-3.41


Relative stability in eV/atom, measured from the most stable structure: arrangement A 0.025; arrangement B 0.030; arrangement C 0.000